No. 1
TaP2Ru SCAN PBEsol geometry; DOS(E_F) = 0.812 states/eV/atom; calculated density = 10.7 Mg/m³; calculated volume = 54 Å³/cell; final energy = -123.37 eV per cell; SG = Fm-3m
1.0
0.0000 2.9910 2.9910
2.9910 0.0000 2.9910
2.9910 2.9910 0.0000
Ta P Ru
1 2 1
Direct
0.0000 0.0000 0.0000
0.2500 0.2500 0.2500
0.7500 0.7500 0.7500
0.5000 0.5000 0.5000



No. 2
TaP2Ru SCAN PBEsol geometry; DOS(E_F) = 0.582 states/eV/atom; calculated density = 10.6 Mg/m³; calculated volume = 54 Å³/cell; final energy = -123.31 eV per cell; SG = P4/mmm
1.0
3.0013 0.0000 0.0000
0.0000 3.0013 0.0000
0.0000 0.0000 5.9575
Ta P Ru
1 2 1
Direct
0.0000 0.0000 0.0000
0.5000 0.5000 0.2510
0.5000 0.5000 0.7490
0.0000 0.0000 0.5000



No. 3
TaPRu SCAN PBEsol geometry; calculated density = 10.7 Mg/m³; calculated volume = 49 Å³/cell; final energy = -113.78 eV per cell; SG = F-43m
1.0
0.0000 2.8951 2.8951
2.8951 0.0000 2.8951
2.8951 2.8951 0.0000
Ta P Ru
1 1 1
Direct
0.0000 0.0000 0.0000
0.5000 0.5000 0.5000
0.7500 0.7500 0.7500



No. 4
TaPRu SCAN PBEsol geometry; DOS(E_F) = 0.195 states/eV/atom; calculated density = 12.6 Mg/m³; calculated volume = 165 Å³/cell; final energy = -457.06 eV per cell; SG = Pnma
1.0
6.2600 0.0000 0.0000
0.0000 3.7000 0.0000
0.0000 0.0000 7.1338
Ta P Ru
4 4 4
Direct
0.0246 0.2500 0.1724
0.4754 0.7500 0.6724
0.5246 0.2500 0.3276
0.9754 0.7500 0.8276
0.2326 0.7500 0.3753
0.2674 0.2500 0.8753
0.7326 0.7500 0.1247
0.7674 0.2500 0.6247
0.1451 0.2500 0.5629
0.3549 0.7500 0.0629
0.6451 0.2500 0.9371
0.8549 0.7500 0.4371



Energy relative to the elements for the records above, in order: -28.1 -26.5 -63.5 -79.0 kJ/mol of atoms